No. 1
Material: K5SeO4F2
Method: DFT, PBE
State: optimized geometry

Values from the calculation:
- space group = Amm2, No. 38
- total DFT energy (no corrections) (eV per atom) = -4.447
- energy relative to the elements, uncorrected (eV per atom) = -1.7346

POSCAR file:
```
K5SeO4F2
1.0
-4.0773 0.2280 -4.8839
5.4540 -2.4846 -0.5200
-2.8863 -6.7740 2.0934
O K F Se
4 5 2 1
direct
0.5846 0.0000 0.8081
0.5846 0.0000 0.1919
0.1027 0.7174 0.0000
0.3853 0.2826 0.0000
0.7136 0.6264 0.7591
0.0872 0.3736 0.7591
0.0872 0.3736 0.2409
0.7136 0.6264 0.2409
0.4010 0.0000 0.5000
0.9581 0.5861 0.5000
0.3720 0.4139 0.5000
0.4157 0.0000 0.0000
```

=====

No. 2
Material: K12SeO3F4
Method: DFT, PBE
State: optimized geometry

Values from the calculation:
- space group = Im-3, No. 204
- total DFT energy (no corrections) (eV per atom) = -3.625
- energy relative to the elements, uncorrected (eV per atom) = -1.6743

POSCAR file:
```
K12SeO3F4
1.0
-5.1580 -6.7578 1.3586
4.4273 -1.1883 -7.2874
5.4816 0.7970 6.5906
K Se F O
12 1 4 3
direct
0.4907 0.3130 0.1777
0.8223 0.1352 0.3130
0.3130 0.8223 0.1352
0.3130 0.1777 0.4907
0.1777 0.4907 0.3130
0.6871 0.8223 0.5093
0.8223 0.5093 0.6871
0.6871 0.1777 0.8648
0.1777 0.8648 0.6871
0.1352 0.3130 0.8223
0.8648 0.6871 0.1777
0.5093 0.6871 0.8223
0.0000 0.0000 0.0000
0.0000 0.5000 0.0000
0.5000 0.5000 0.5000
0.0000 0.0000 0.5000
0.5000 0.0000 0.0000
0.0000 0.5000 0.5000
0.5000 0.0000 0.5000
0.5000 0.5000 0.0000
```

=====

No. 3
Material: KSiO2F
Method: DFT, PBE
State: optimized geometry

Values from the calculation:
- space group = P4/mmm, No. 123
- total DFT energy (no corrections) (eV per atom) = -3.274
- energy relative to the elements, uncorrected (eV per atom) = 0.3877

POSCAR file:
```
KSiO2F
1.0
4.5531 0.0000 0.0000
0.0000 4.5531 0.0000
0.0000 0.0000 4.5727
K O Si F
1 2 1 1
direct
0.0000 0.0000 0.0000
0.0000 0.5000 0.0000
0.5000 0.0000 0.0000
0.5000 0.5000 0.5000
0.0000 0.0000 0.5000
```

=====

No. 4
Material: KSiOF2
Method: DFT, PBE
State: optimized geometry

Values from the calculation:
- space group = P4/mmm, No. 123
- energy above the lowest structure with this stoichiometry (eV/f.u.) = 0.00
- total DFT energy (no corrections) (eV per atom) = -5.210
- energy relative to the elements, uncorrected (eV per atom) = -2.1658

POSCAR file:
```
KSiOF2
1.0
-2.0038 -1.6663 3.4767
3.8238 -0.3586 2.0320
-0.4025 3.2672 1.3339
F K Si O
2 1 1 1
direct
0.5000 0.0000 0.0000
0.0000 0.5000 0.0000
0.5000 0.5000 0.5000
0.0000 0.0000 0.0000
0.0000 0.0000 0.5000
```

=====

No. 5
Material: KSiO2F
Method: DFT, PBE
State: optimized geometry

Values from the calculation:
- space group = P4/mmm, No. 123
- total DFT energy (no corrections) (eV per atom) = -5.910
- energy relative to the elements, uncorrected (eV per atom) = -2.2483

POSCAR file:
```
KSiO2F
1.0
3.5127 0.0000 0.0000
0.0000 3.5127 0.0000
0.0000 0.0000 4.2736
O K Si F
2 1 1 1
direct
0.0000 0.5000 0.0000
0.5000 0.0000 0.0000
0.5000 0.5000 0.5000
0.0000 0.0000 0.0000
0.0000 0.0000 0.5000
```

=====

No. 6
Material: KSiOF2
Method: DFT, PBE
State: optimized geometry

Values from the calculation:
- space group = P4/mmm, No. 123
- energy above the lowest structure with this stoichiometry (eV/f.u.) = 11.28
- total DFT energy (no corrections) (eV per atom) = -2.954
- energy relative to the elements, uncorrected (eV per atom) = 0.0907

POSCAR file:
```
KSiOF2
1.0
-0.6169 -1.3529 4.1227
-0.2932 -6.3003 -2.1113
4.3347 -0.3776 0.5247
Si K O F
1 1 1 2
direct
0.0000 0.5000 0.0000
0.0000 0.0000 0.0000
0.5000 0.5000 0.5000
0.0000 0.0000 0.5000
0.5000 0.0000 0.0000
```

=====

No. 7
Material: KSiOF2
Method: DFT, PBE
State: optimized geometry

Values from the calculation:
- space group = P4/mmm, No. 123
- energy above the lowest structure with this stoichiometry (eV/f.u.) = 9.28
- total DFT energy (no corrections) (eV per atom) = -3.353
- energy relative to the elements, uncorrected (eV per atom) = -0.3089

POSCAR file:
```
KSiOF2
1.0
4.5891 0.0000 0.0000
0.0000 4.5891 0.0000
0.0000 0.0000 4.6208
O Si F K
1 1 2 1
direct
0.0000 0.0000 0.5000
0.5000 0.5000 0.5000
0.5000 0.0000 0.0000
0.0000 0.5000 0.0000
0.0000 0.0000 0.0000
```

=====

No. 8
Material: KSr2Si4O10F
Method: DFT, PBE
State: optimized geometry

Values from the calculation:
- space group = P2_1/c, No. 14
- total DFT energy (no corrections) (eV per atom) = -7.246
- energy relative to the elements, uncorrected (eV per atom) = -2.9350

POSCAR file:
```
KSr2Si4O10F
1.0
8.6290 0.0000 0.0000
0.0000 11.6369 0.0004
0.0000 -4.4487 10.8611
O Sr Si K F
40 8 16 4 4
direct
0.3795 0.2667 0.9994
0.1205 0.7667 0.4994
0.2037 0.5564 0.6859
0.4770 0.5886 0.7951
0.7865 0.0913 0.6874
0.2135 0.9087 0.3126
0.9770 0.9114 0.7049
0.0230 0.0886 0.2951
0.4180 0.3916 0.5956
0.2865 0.4087 0.8126
0.4588 0.8364 0.8626
0.5443 0.8534 0.4527
0.9180 0.1084 0.9044
0.4557 0.1466 0.5473
0.9233 0.5137 0.7610
0.6205 0.7333 0.0006
0.0605 0.7400 0.8679
0.5767 0.0137 0.2610
0.0820 0.8916 0.0956
0.1849 0.2316 0.4966
0.8795 0.2333 0.5006
0.5605 0.7600 0.6321
0.5412 0.1636 0.1374
0.0767 0.4863 0.2390
0.3151 0.7316 0.9966
0.5230 0.4114 0.2049
0.7037 0.9436 0.8141
0.0412 0.3364 0.3626
0.0443 0.6466 0.0473
0.2963 0.0564 0.1859
0.9395 0.2600 0.1321
0.9588 0.6636 0.6374
0.7963 0.4436 0.3141
0.9557 0.3534 0.9527
0.5820 0.6084 0.4044
0.4233 0.9863 0.7390
0.8151 0.7684 0.5034
0.7135 0.5913 0.1874
0.4395 0.2400 0.3679
0.6849 0.2684 0.0034
0.5249 0.7846 0.2196
0.7850 0.5416 0.9595
0.4751 0.2154 0.7804
0.0249 0.7154 0.2804
0.9751 0.2846 0.7196
0.2150 0.4584 0.0405
0.7150 0.0416 0.4595
0.2850 0.9584 0.5405
0.3760 0.2471 0.5030
0.6582 0.5167 0.2702
0.9739 0.7768 0.5864
0.8418 0.0167 0.7702
0.8760 0.2529 0.9970
0.9677 0.3851 0.2591
0.0261 0.2232 0.4136
0.0323 0.6149 0.7409
0.3418 0.4834 0.7298
0.5261 0.2768 0.0864
0.6240 0.7529 0.4970
0.1582 0.9834 0.2298
0.1240 0.7471 0.0030
0.4739 0.7232 0.9136
0.4677 0.1149 0.2409
0.5323 0.8851 0.7591
0.7177 0.4636 0.5712
0.7823 0.9636 0.0712
0.2177 0.0364 0.9288
0.2823 0.5364 0.4288
0.1816 0.1393 0.7082
0.8184 0.8607 0.2918
0.3184 0.6393 0.2082
0.6816 0.3607 0.7918
```

=====

Which value of energy relative to the elements, uncorrected does entry 8 give?
-2.9350 eV per atom

=====

Which value of energy relative to the elements, uncorrected does entry 5 give?
-2.2483 eV per atom

=====

Look up the energy relative to the elements, uncorrected of the fifth one.
-2.2483 eV per atom